## PuSiNi2O6 (PBE with a Hubbard U)

Data for PuSiNi2O6 after structural relaxation.

Cell and atoms, written as extended XYZ:
```
10
Lattice="-3.703 -1.141 -1.869 1.598 -5.317 0.081 -2.331 -0.624 5.001" Properties=species:S:1:pos:R:3 pbc="T T T"
Pu -2.716 -3.695 1.355
Si -2.337 -0.720 -1.179
Ni -2.491 -3.673 -1.620
Ni -4.456 -1.326 0.840
O -2.929 -2.162 -0.276
O -4.232 -2.511 2.520
O -0.946 -3.149 2.248
O -0.957 -0.295 -0.483
O -3.339 -5.485 2.565
O -2.035 -5.136 -0.231
```

Values from the calculation:
For the density of states at the Fermi level, the calculation gives 0.60 states/eV/atom. The magnetization comes out at 7.85 Bohr magnetons per cell. The calculation puts the uncorrected energy at -7.12 eV/atom. Its crystal system is tetragonal.